A plane-wave DFT calculation with GGA-PBE was carried out for crystalline NdZn2GaPd2 at its relaxed geometry.

```
NdZn2GaPd2
1.0
4.676 0.000 0.000
0.000 4.676 0.000
0.000 0.000 5.678
Nd Zn Ga Pd
1 2 1 2
Cartesian
0.000 0.000 0.000 Nd
2.338 2.338 1.365 Zn
2.338 2.338 4.313 Zn
0.000 0.000 2.839 Ga
0.000 2.338 2.839 Pd
2.338 0.000 2.839 Pd
```

Computed properties:
energy: -0.139 Ha/atom
calculated formation energy: -0.322 eV per atom
size of the total moment: 0.00 Bohr magnetons per cell
symmetry: P4/mmm
theoretical density: 7.5 g cm⁻³